Here is a geometry-optimized Cr2BWBr structure from the Alexandria database. Energies are from PBE.

Structure (CIF):
```
data_Cr2BWBr
_space_group_name_H-M_alt 'P 4/m m m'
_space_group_IT_number 123
_space_group_name_Hall '-P 4 2'
_cell_length_a 4.909
_cell_length_b 4.909
_cell_length_c 4.186
_cell_angle_alpha 90.00
_cell_angle_beta 90.00
_cell_angle_gamma 90.00
loop_
_atom_site_label
_atom_site_fract_x
_atom_site_fract_y
_atom_site_fract_z
Cr1 0.000 0.500 0.000
B1 0.000 0.000 0.500
W1 0.000 0.000 0.000
Br1 0.500 0.500 0.500
```

- Energy relative to the elements, uncorrected: 1.430 eV per atom
- Crystal system: tetragonal

Here is a geometry-optimized RbNa2Te structure from the Alexandria database. Energies are from PBE.

Structure (CIF):
```
data_RbNa2Te
_space_group_name_H-M_alt 'R 3 m'
_space_group_IT_number 160
_space_group_name_Hall 'R 3 -2"'
_cell_length_a 5.2438
_cell_length_b 5.2438
_cell_length_c 21.9418
_cell_angle_alpha 90.00
_cell_angle_beta 90.00
_cell_angle_gamma 120.00
loop_
_atom_site_label
_atom_site_fract_x
_atom_site_fract_y
_atom_site_fract_z
Rb1 0.0000 0.0000 0.0000
Na1 0.0000 0.0000 0.2051
Na2 0.0000 0.0000 0.4539
Te1 0.0000 0.0000 0.8174
```

- Energy relative to the elements, uncorrected: -0.586 eV per atom
- Crystal system: trigonal

> energy relative to the elements, uncorrected of number 1 (Cr2BWBr)?

1.430 eV per atom